[1]
First-principles (PBE) data for a relaxed CsLa2YCo crystal, as listed in the Alexandria database.

The volume is 35.834 Å³/atom. The formation energy is 109.0 kJ/mol of formula units.

The structure belongs to space group P4/mmm (No. 123); the cell edges are 5.598, 5.598 and 5.717 Å and the angles 90.00°, 90.00° and 90.00°. The asymmetric unit holds Cs at (0.000, 0.000, 0.000), La at (0.000, 0.500, 0.500), Y at (0.500, 0.500, 0.000) and Co at (0.500, 0.500, 0.500).

=====

[2]
First-principles (PBE) data for a relaxed CsLi2Co2 crystal, as listed in the Alexandria database.

The volume is 22.002 Å³/atom. The formation energy is 363.4 kJ/mol of formula units.

The structure belongs to space group P4/mbm (No. 127); the cell edges are 8.344, 8.344 and 3.160 Å and the angles 90.00°, 90.00° and 90.00°. The asymmetric unit holds Cs at (0.000, 0.000, 0.000), Li at (0.154, 0.346, 0.000) and Co at (0.092, 0.592, 0.500).

=====

[3]
First-principles (PBE) data for a relaxed Cs2LiCo4 crystal, as listed in the Alexandria database.

The volume is 26.701 Å³/atom. The formation energy is 922.6 kJ/mol of formula units.

The structure belongs to space group I4/mmm (No. 139); the cell edges are 4.255, 4.255 and 20.650 Å and the angles 90.00°, 90.00° and 90.00°. The asymmetric unit holds Cs at (0.000, 0.000, 0.161), Li at (0.000, 0.000, 0.500), Co at (0.000, 0.000, 0.407) and Co at (0.000, 0.500, 0.000).

=====

[4]
First-principles (PBE) data for a relaxed CsMg14Co crystal, as listed in the Alexandria database.

The volume is 24.191 Å³/atom. The formation energy is 363.9 kJ/mol of formula units. The offset from the most stable computed form is 7 meV per atom.

The structure belongs to space group P-6m2 (No. 187); the cell edges are 6.4604, 6.4604 and 10.7086 Å and the angles 90.00°, 90.00° and 120.00°. The asymmetric unit holds Cs at (0.0000, 0.0000, 0.0000), Mg at (0.0088, 0.5044, 0.0000), Mg at (0.1625, 0.3250, 0.2869), Mg at (0.5076, 0.0152, 0.5000), Mg at (0.6667, 0.3333, 0.2391) and Co at (0.0000, 0.0000, 0.5000).

=====

[5]
First-principles (PBE) data for a relaxed Cs2MgCo crystal, as listed in the Alexandria database.

The volume is 47.466 Å³/atom. The formation energy is 363.3 kJ/mol of formula units.

The structure belongs to space group Fm-3m (No. 225); the cell edges are 9.124, 9.124 and 9.124 Å and the angles 90.00°, 90.00° and 90.00°. The asymmetric unit holds Cs at (0.250, 0.250, 0.250), Mg at (0.000, 0.000, 0.000) and Co at (0.000, 0.000, 0.500).

=====

[6]
First-principles (PBE) data for a relaxed CsMg4Co2 crystal, as listed in the Alexandria database.

The volume is 33.370 Å³/atom. The formation energy is 856.9 kJ/mol of formula units.

The structure belongs to space group I4/mmm (No. 139); the cell edges are 5.652, 5.652 and 14.626 Å and the angles 90.00°, 90.00° and 90.00°. The asymmetric unit holds Cs at (0.000, 0.000, 0.000), Mg at (0.000, 0.000, 0.258), Mg at (0.000, 0.500, 0.000) and Co at (0.000, 0.000, 0.429).